An optimized crystal structure of Ba5Na. Source: Alexandria via LeMat-Bulk, functional PBE-GGA.

SG: No. 38
Calculated formation energy, meV per atom: 44

Cell: 6.985 7.012 8.162 Å, 90.00 115.33 90.00°
Fractional coordinates of all 6 atoms:
Ba1 0.472 0.500 0.944
Na1 0.973 0.000 0.946
Ba2 0.809 0.500 0.618
Ba3 0.135 0.500 0.270
Ba4 0.629 0.000 0.257
Ba5 0.316 0.000 0.631

An optimized crystal structure of Ba3Na. Source: Alexandria via LeMat-Bulk, functional PBE-GGA.

SG: No. 225
Calculated formation energy, meV per atom: 84

Cell: 6.922 6.922 6.922 Å, 60.00 60.00 60.00°
Fractional coordinates of all 4 atoms:
Ba1 0.000 0.000 0.000
Ba2 0.250 0.250 0.250
Na1 0.500 0.500 0.500
Ba3 0.750 0.750 0.750

An optimized crystal structure of BaNa4. Source: Alexandria via LeMat-Bulk, functional PBE-GGA.

SG: No. 221
Calculated formation energy, meV per atom: 561

Cell: 7.067 7.067 7.067 Å, 90.00 90.00 90.00°
Fractional coordinates of all 5 atoms:
Na1 0.000 0.000 0.000
Na2 0.000 0.500 0.500
Ba1 0.500 0.500 0.500
Na3 0.500 0.500 0.000
Na4 0.500 0.000 0.500

An optimized crystal structure of Ba3Na5. Source: Alexandria via LeMat-Bulk, functional PBE-GGA.

SG: No. 65
Calculated formation energy, meV per atom: 32

Cell: 6.483 8.031 8.031 Å, 111.02 90.00 90.00°
Fractional coordinates of all 8 atoms:
Na1 0.000 0.000 0.000
Na2 0.000 0.500 0.000
Ba1 0.500 0.748 0.252
Ba2 0.000 0.500 0.500
Ba3 0.500 0.252 0.748
Na3 0.500 0.234 0.234
Na4 0.000 0.000 0.500
Na5 0.500 0.766 0.766

Record order is preserved below.
Total magnetization: 0.0, 0.0, 0.0, 0.0 μB per formula unit
Record order is preserved below.
Total DFT energy (no corrections): -1.778, -1.688, -0.879, -1.514 eV/atom